1.
Here is a geometry-optimized LaGdGa2Cu4 structure from OQMD. Energies are from PBE.

Values from the calculation:
Energy: -33.20 eV for the cell shown

a b c (Å): 4.2920 4.2920 9.3143
angles (deg): 90.00 90.00 120.00
Space group P-6m2 (No. 187)
Asymmetric unit:
La 0.0000 0.0000 0.0000 (multiplicity 1)
Gd 0.6667 0.3333 0.5000 (multiplicity 1)
Ga 0.3333 0.6667 0.2617 (multiplicity 2)
Cu 0.0000 0.0000 0.3254 (multiplicity 2)
Cu 0.6667 0.3333 0.1967 (multiplicity 2)

=====

2.
Here is a geometry-optimized Ba2NdOsSe6 structure from OQMD. Energies are from PBE.

Values from the calculation:
Energy: -103.92 eV for the cell shown

a b c (Å): 12.801 7.292 7.697
angles (deg): 90.00 125.13 90.00
Space group C2/m (No. 12)
Asymmetric unit:
Ba 0.245 0.000 0.238 (multiplicity 4)
Nd 0.000 0.000 0.500 (multiplicity 2)
Os 0.000 0.500 0.000 (multiplicity 2)
Se 0.046 0.262 0.816 (multiplicity 8)
Se 0.231 0.500 0.312 (multiplicity 4)

=====

3.
Here is a geometry-optimized YFeReSi structure from OQMD. Energies are from PBE.

Values from the calculation:
E above lowest polymorph: 0.000 eV per atom

a b c (Å): 6.283 6.283 6.283
angles (deg): 90.00 90.00 90.00
Space group F-43m (No. 216)
Asymmetric unit:
Y 0.000 0.000 0.000 (multiplicity 4)
Fe 0.250 0.250 0.750 (multiplicity 4)
Re 0.250 0.250 0.250 (multiplicity 4)
Si 0.000 0.000 0.500 (multiplicity 4)

=====

4.
Here is a geometry-optimized InPbAuSe3 structure from OQMD. Energies are from PBE.

Values from the calculation:
Energy: -85.81 eV for the cell shown

a b c (Å): 3.868 13.997 11.102
angles (deg): 90.00 90.00 90.00
Space group Cmcm (No. 63)
Asymmetric unit:
In 0.000 0.235 0.250 (multiplicity 4)
Pb 0.000 0.000 0.000 (multiplicity 4)
Au 0.000 0.474 0.750 (multiplicity 4)
Se 0.000 0.110 0.750 (multiplicity 4)
Se 0.000 0.338 0.580 (multiplicity 8)

=====

5.
Here is a geometry-optimized BeNbAsO structure from OQMD. Energies are from PBE.

Values from the calculation:
E above lowest polymorph: 0.360 eV per atom

a b c (Å): 3.555 3.555 10.159
angles (deg): 90.00 90.00 90.00
Space group P4/nmm (No. 129, origin choice 2)
Asymmetric unit:
Be 0.250 0.250 0.005 (multiplicity 2)
Nb 0.250 0.750 0.500 (multiplicity 2)
As 0.250 0.250 0.293 (multiplicity 2)
O 0.250 0.750 0.000 (multiplicity 2)

=====

6.
Here is a geometry-optimized MgZr4InC2 structure from OQMD. Energies are from PBE.

Values from the calculation:
Energy: -61.46 eV for the cell shown

a b c (Å): 3.3558 3.3558 15.4956
angles (deg): 90.00 90.00 120.00
Space group P-6m2 (No. 187)
Asymmetric unit:
Mg 0.0000 0.0000 0.0000 (multiplicity 1)
Zr 0.0000 0.0000 0.3354 (multiplicity 2)
Zr 0.6667 0.3333 0.1743 (multiplicity 2)
In 0.6667 0.3333 0.5000 (multiplicity 1)
C 0.3333 0.6667 0.2551 (multiplicity 2)

=====

7.
Here is a geometry-optimized LiGdNi structure from OQMD. Energies are from PBE.

Values from the calculation:
E above lowest polymorph: 0.433 eV per atom

a b c (Å): 6.355 6.355 6.355
angles (deg): 90.00 90.00 90.00
Space group F-43m (No. 216)
Asymmetric unit:
Li 0.000 0.000 0.000 (multiplicity 4)
Gd 0.250 0.250 0.250 (multiplicity 4)
Ni 0.000 0.000 0.500 (multiplicity 4)

=====

8.
Here is a geometry-optimized TbTl2Mo2 structure from OQMD. Energies are from PBE.

Values from the calculation:
E above lowest polymorph: 0.000 eV per atom

a b c (Å): 3.979 3.979 13.775
angles (deg): 90.00 90.00 90.00
Space group I4/mmm (No. 139)
Asymmetric unit:
Tb 0.000 0.000 0.000 (multiplicity 2)
Tl 0.000 0.000 0.396 (multiplicity 4)
Mo 0.000 0.500 0.250 (multiplicity 4)

=====

9.
Here is a geometry-optimized CdS structure from OQMD. Energies are from PBE.

Values from the calculation:
Energy: -5.65 eV for the cell shown

a b c (Å): 3.7676 3.7676 3.4433
angles (deg): 90.00 90.00 120.00
Space group P-6m2 (No. 187)
Asymmetric unit:
Cd 0.0000 0.0000 0.0000 (multiplicity 1)
S 0.6667 0.3333 0.5000 (multiplicity 1)

=====

10.
Here is a geometry-optimized TbNi2H6 structure from OQMD. Energies are from PBE.

Values from the calculation:
Energy: -39.34 eV for the cell shown

a b c (Å): 4.3444 4.3444 4.0803
angles (deg): 90.00 90.00 120.00
Space group P6/mmm (No. 191)
Asymmetric unit:
Tb 0.0000 0.0000 0.0000 (multiplicity 1)
Ni 0.3333 0.6667 0.5000 (multiplicity 2)
H 0.0000 0.5000 0.2427 (multiplicity 6)

=====

11.
Here is a geometry-optimized DyGeMo structure from OQMD. Energies are from PBE.

Values from the calculation:
Energy: -79.39 eV for the cell shown

a b c (Å): 6.392 6.392 6.392
angles (deg): 90.00 90.00 90.00
Space group F-43m (No. 216)
Asymmetric unit:
Dy 0.000 0.000 0.000 (multiplicity 4)
Ge 0.250 0.250 0.250 (multiplicity 4)
Mo 0.000 0.000 0.500 (multiplicity 4)

=====

12.
Here is a geometry-optimized Dy3FeSi3 structure from OQMD. Energies are from PBE.

Values from the calculation:
Energy: -174.25 eV for the cell shown

a b c (Å): 10.519 4.155 13.495
angles (deg): 90.00 111.28 90.00
Space group C2/m (No. 12)
Asymmetric unit:
Dy 0.024 0.000 0.379 (multiplicity 4)
Dy 0.102 0.000 0.919 (multiplicity 4)
Dy 0.248 0.000 0.230 (multiplicity 4)
Fe 0.246 0.500 0.416 (multiplicity 4)
Si 0.056 0.500 0.242 (multiplicity 4)
Si 0.112 0.500 0.075 (multiplicity 4)
Si 0.146 0.500 0.543 (multiplicity 4)